No. 1
The following is a DFT calculation (GGA-PBE) of a relaxed GeSbSe crystal.

The structure in POSCAR format:
```
GeSbSe
1.0
3.554 0.000 0.000
-1.777 3.077 0.000
0.000 0.000 6.832
Ge Sb Se
1 1 1
Direct
0.000 0.000 0.000
0.667 0.333 0.334
0.333 0.667 0.777
```

Symmetry: No. 156
Formation energy without anion corrections in meV per atom: 62
Energy above the lowest structure with this stoichiometry in meV/atom: 139
Raw total energy in eV/atom: -4.013

=====

No. 2
The following is a DFT calculation (GGA-PBE) of a relaxed Ba3TeH3 crystal.

The structure in POSCAR format:
```
Ba3TeH3
1.0
3.991 2.304 7.914
-3.991 2.304 7.914
0.000 -4.608 7.914
Ba Te H
6 2 6
Direct
0.070 0.412 0.737
0.263 0.930 0.588
0.412 0.737 0.070
0.588 0.263 0.930
0.737 0.070 0.412
0.930 0.588 0.263
0.165 0.165 0.165
0.835 0.835 0.835
0.041 0.711 0.368
0.289 0.632 0.959
0.368 0.041 0.711
0.632 0.959 0.289
0.711 0.368 0.041
0.959 0.289 0.632
```

Symmetry: No. 148
Raw total energy in eV/atom: -3.494

=====

no.,total magnetization (μB/f.u.)
1,0.000
2,1.010